Material: Rb2Co3S4
Method: DFT, meta-GGA SCAN
State: PBEsol geometry

Summary:
* DOS at the Fermi energy: 1.71 states/eV/cell
* E_form (uncorrected): -72 kJ per mole of atoms
* total DFT energy (no corrections): -1.1319 Ry per atom

a b c (Å): 8.6385 8.6385 8.6385
angles (deg): 144.74 105.01 85.67
Fractional coordinates of all 18 atoms:
1 Rb 0.1249 0.2489 0.3738
2 Rb 0.3751 0.7489 0.1240
3 Rb 0.6249 0.2511 0.8760
4 Rb 0.8751 0.7511 0.6262
5 Co 0.0043 0.7500 0.2543
6 Co 0.2500 0.7500 0.5000
7 Co 0.4957 0.7500 0.7457
8 Co 0.5043 0.2500 0.2543
9 Co 0.7500 0.2500 0.5000
10 Co 0.9957 0.2500 0.7457
11 S 0.0399 0.4097 0.1223
12 S 0.2126 0.0903 0.6302
13 S 0.2874 0.9175 0.8777
14 S 0.4601 0.5825 0.3698
15 S 0.5399 0.4175 0.6302
16 S 0.7126 0.0825 0.1223
17 S 0.7874 0.9097 0.3698
18 S 0.9601 0.5903 0.8777